Below is ZrBeCdPd after structural relaxation, with properties calculated at the PBE-GGA level.

Calculated values
The value obtained for the offset from the most stable computed form is 107.6 meV per atom. The calculation puts the total energy at -4.732 eV per atom. The value obtained for the theoretical density is 7.8 Mg/m³.

Cell: 4.572 4.572 4.572 Å, 60.00 60.00 60.00°
Atoms (fractional coordinates):
Zr 0.000 0.000 0.000
Be 0.500 0.500 0.500
Cd 0.250 0.250 0.250
Pd 0.750 0.750 0.750